No. 1
DFT (SCAN) results for a crystal of Y3InAu relaxed with PBEsol.

## Properties
DOS at the Fermi energy (states/eV/f.u.): 5.042
Total energy (eV for the cell shown): -184.56
Calculated formation energy (eV per formula unit): 1.511

a = 5.5446 Å, b = 5.5446 Å, c = 5.5446 Å
α = 90.00°, β = 90.00°, γ = 90.00°
Atoms (fractional coordinates):
Au: 0.5000 0.5000 0.5000
Y: 0.0000 0.0000 0.5000
In: 0.0000 0.0000 0.0000
Y: 0.0000 0.5000 0.0000
Y: 0.5000 0.0000 0.0000

=====

No. 2
DFT (SCAN) results for a crystal of Ni7Ge4 relaxed with PBEsol.

## Properties
DOS at the Fermi energy (states/eV/f.u.): 6.369
Total energy (eV for the cell shown): -192.63
Calculated formation energy (eV per formula unit): -3.068

a = 3.9277 Å, b = 3.9277 Å, c = 9.8614 Å
α = 90.00°, β = 90.00°, γ = 120.00°
Atoms (fractional coordinates):
Ni: 0.0000 0.0000 0.8785
Ge: 0.3333 0.6667 0.7589
Ge: 0.6667 0.3333 0.0000
Ni: 0.0000 0.0000 0.1215
Ni: 0.6667 0.3333 0.2455
Ni: 0.0000 0.0000 0.6265
Ni: 0.0000 0.0000 0.3735
Ni: 0.3333 0.6667 0.5000
Ge: 0.3333 0.6667 0.2411
Ni: 0.6667 0.3333 0.7545
Ge: 0.6667 0.3333 0.5000

=====

No. 3
DFT (SCAN) results for a crystal of RbPdIO2 relaxed with PBEsol.

## Properties
DOS at the Fermi energy (states/eV/f.u.): 4.616
Total energy (eV for the cell shown): -103.63

a = 4.3470 Å, b = 4.3470 Å, c = 5.3676 Å
α = 90.00°, β = 90.00°, γ = 90.00°
Atoms (fractional coordinates):
I: 0.0000 0.0000 0.5000
Rb: 0.5000 0.5000 0.5000
O: 0.0000 0.5000 0.0000
Pd: 0.0000 0.0000 0.0000
O: 0.5000 0.0000 0.0000

=====

No. 4
DFT (SCAN) results for a crystal of K2AlPt relaxed with PBEsol.

## Properties
DOS at the Fermi energy (states/eV/f.u.): 2.224
Total energy (eV for the cell shown): -95.56
Calculated formation energy (eV per formula unit): -0.959

a = 3.8500 Å, b = 5.6687 Å, c = 6.5544 Å
α = 115.62°, β = 107.08°, γ = 90.00°
Atoms (fractional coordinates):
Pt: 0.5553 0.5553 0.1106
Al: 0.1778 0.6778 0.3556
K: 0.7874 0.2874 0.5749
K: 0.9795 0.9795 0.9590

=====

No. 5
DFT (SCAN) results for a crystal of MnCdIr2 relaxed with PBEsol.

## Properties
DOS at the Fermi energy (states/eV/f.u.): 2.243
Total energy (eV for the cell shown): -191.15
Calculated formation energy (eV per formula unit): -0.279

a = 2.7596 Å, b = 2.7596 Å, c = 7.8852 Å
α = 90.00°, β = 90.00°, γ = 90.00°
Atoms (fractional coordinates):
Ir: 0.5000 0.5000 0.2521
Cd: 0.5000 0.5000 0.7502
Ir: 0.0000 0.0000 0.0207
Mn: 0.0000 0.0000 0.4770

=====

No. 6
DFT (SCAN) results for a crystal of NaCo3P3O13 relaxed with PBEsol.

## Properties
DOS at the Fermi energy (states/eV/f.u.): 1.994
Total energy (eV for the cell shown): -414.68

a = 6.0069 Å, b = 7.2445 Å, c = 10.0628 Å
α = 101.29°, β = 90.00°, γ = 90.00°
Atoms (fractional coordinates):
O: 0.7500 0.1260 0.0980
O: 0.2500 0.0734 0.1173
O: 0.9479 0.2615 0.5687
O: 0.7500 0.4839 0.0363
O: 0.0383 0.1989 0.9076
O: 0.9617 0.8011 0.0924
Co: 0.2500 0.2404 0.5558
O: 0.2500 0.9955 0.6062
Na: 0.2500 0.6839 0.2057
O: 0.4479 0.7385 0.4313
O: 0.2500 0.6540 0.6301
O: 0.4617 0.1989 0.9076
Co: 0.2500 0.6342 0.8089
P: 0.2500 0.2620 0.2303
O: 0.0521 0.7385 0.4313
O: 0.0552 0.3835 0.2001
O: 0.7500 0.3460 0.3699
O: 0.7500 0.0045 0.3938
P: 0.2500 0.7916 0.5325
O: 0.5552 0.6165 0.7999
O: 0.4448 0.3835 0.2001
O: 0.2500 0.1950 0.3645
Co: 0.5000 0.0000 0.0000
Co: 0.7500 0.3658 0.1911
P: 0.7500 0.6923 0.1127
O: 0.7500 0.8050 0.6355
Co: 0.7500 0.7596 0.4442
O: 0.2500 0.8740 0.9020
Na: 0.7500 0.3161 0.7943
O: 0.7500 0.9266 0.8827
P: 0.2500 0.3077 0.8873
P: 0.7500 0.7380 0.7697
O: 0.5521 0.2615 0.5687
O: 0.9448 0.6165 0.7999
P: 0.7500 0.2084 0.4675
Co: 0.0000 0.0000 0.0000
O: 0.5383 0.8011 0.0924
O: 0.2500 0.3577 0.7415
O: 0.7500 0.6423 0.2585
O: 0.2500 0.5161 0.9637

=====

No. 7
DFT (SCAN) results for a crystal of Li3HgPb relaxed with PBEsol.

## Properties
DOS at the Fermi energy (states/eV/f.u.): 1.730
Total energy (eV for the cell shown): -151.83
Calculated formation energy (eV per formula unit): -0.712

a = 4.8756 Å, b = 4.8756 Å, c = 4.8756 Å
α = 90.00°, β = 90.00°, γ = 90.00°
Atoms (fractional coordinates):
Hg: 0.0000 0.0000 0.0000
Pb: 0.5000 0.5000 0.5000
Li: 0.0000 0.0000 0.5000
Li: 0.5000 0.0000 0.0000
Li: 0.0000 0.5000 0.0000

=====

No. 8
DFT (SCAN) results for a crystal of FeSb2IN relaxed with PBEsol.

## Properties
DOS at the Fermi energy (states/eV/f.u.): 2.566
Total energy (eV for the cell shown): -132.34

a = 4.7480 Å, b = 4.7480 Å, c = 5.5059 Å
α = 90.00°, β = 90.00°, γ = 90.00°
Atoms (fractional coordinates):
N: 0.5000 0.5000 0.5000
Fe: 0.0000 0.0000 0.0000
Sb: 0.0000 0.5000 0.0000
Sb: 0.5000 0.0000 0.0000
I: 0.0000 0.0000 0.5000